Entry from the Alexandria database: a relaxed structure of Rb2ZnGaRe (PBE).

Values from the calculation:
Calculated total energy in Ry/atom: -0.19665
Size of the total moment in μB per formula unit: 2.46
Space-group type: P4/mmm, No. 123
Energy relative to the elements in eV/atom: 1.06

Lattice parameters (Å, degrees): 6.8291 4.9303 6.8291 90.00 90.00 90.00
Last column: magnetic moment on the atom in μB.
Atoms (fractional coordinates):
Re (0.0000, 0.0000, 0.0000)  2.28
Zn (0.5000, 0.5000, 0.5000)  -0.01
Ga (0.0000, 0.5000, 0.0000)  -0.06
Rb (0.0000, 0.0000, 0.5000)  0.00
Rb (0.5000, 0.0000, 0.0000)  0.01